Record 1
The following is a DFT calculation (GGA-PBE) of Mo3RuCl after structural relaxation.

Unit cell a=4.3594 b=4.3594 c=4.3594 alpha=90.00 beta=90.00 gamma=90.00
Last column: nearest neighbours and their distance in Å.
Space group Pm-3m (No. 221)
Asymmetric unit:
Mo 0.0000 0.0000 0.5000 (multiplicity 3)  2 Cl 2.18
Ru 0.5000 0.5000 0.5000 (multiplicity 1)  12 Mo 3.08
Cl 0.0000 0.0000 0.0000 (multiplicity 1)  6 Mo 2.18

Computed properties:
E_form (uncorrected) = 1.197 eV/atom
energy above the lowest structure with this stoichiometry = 0 meV/atom
total magnetic moment = 0.000 Bohr magnetons per cell

Record 2
The following is a DFT calculation (GGA-PBE) of MoRuCl after structural relaxation.

Unit cell a=3.0695 b=5.0277 c=12.9420 alpha=90.00 beta=90.00 gamma=90.00
Last column: nearest neighbours and their distance in Å.
Space group Fmm2 (No. 42)
Asymmetric unit:
Mo 0.0000 0.0000 0.0000 (multiplicity 4)  2 Ru 2.45, 2 Cl 2.62
Ru 0.0000 0.0000 0.6480 (multiplicity 4)  2 Mo 2.45
Cl 0.0000 0.0000 0.3362 (multiplicity 4)  2 Mo 2.62, 2 Ru 2.88

Computed properties:
E_form (uncorrected) = 0.452 eV/atom
energy above the lowest structure with this stoichiometry = 306 meV/atom
total magnetic moment = 0.000 Bohr magnetons per cell

Record 3
The following is a DFT calculation (GGA-PBE) of Mo3RuCl after structural relaxation.

Unit cell a=4.7659 b=4.7659 c=4.7659 alpha=90.00 beta=90.00 gamma=90.00
Last column: nearest neighbours and their distance in Å.
Space group Pm-3m (No. 221)
Asymmetric unit:
Mo 0.0000 0.0000 0.5000 (multiplicity 3)  2 Ru 2.38
Ru 0.0000 0.0000 0.0000 (multiplicity 1)  6 Mo 2.38
Cl 0.5000 0.5000 0.5000 (multiplicity 1)  12 Mo 3.37

Computed properties:
E_form (uncorrected) = 1.830 eV/atom
energy above the lowest structure with this stoichiometry = 634 meV/atom
total magnetic moment = 1.180 Bohr magnetons per cell

no.,calculated volume (Å³ per cell)
1,82.8
2,199.7
3,108.3